No. 1
The following is a GGA-PBE calculation of crystalline FeMoOs at its relaxed geometry, from the Alexandria database.

For the energy of formation from the pure elements, the calculation gives 128 meV/atom. For the offset from the most stable computed form, the calculation gives 0 meV per atom.

The structure in extended XYZ format:
```
3
Lattice="-1.351 1.924 4.043 1.351 -1.924 4.043 1.351 1.924 -4.043" Properties=species:S:1:pos:R:3 pbc="T T T"
Fe 0.000 0.000 0.000
Mo 0.000 0.000 5.423
Os 0.000 0.000 2.773
```



No. 2
The following is a GGA-PBE calculation of crystalline Ba3MgF at its relaxed geometry, from the Alexandria database.

The raw formation energy comes out at -1.044 eV per atom. For the offset from the most stable computed form, the calculation gives 0 meV per atom.

The structure in extended XYZ format:
```
5
Lattice="5.727 0.000 0.000 0.000 5.727 0.000 0.000 0.000 5.727" Properties=species:S:1:pos:R:3 pbc="T T T"
Ba 0.000 0.000 2.864
Ba 0.000 2.864 0.000
Ba 2.864 0.000 0.000
Mg 2.864 2.864 2.864
F 0.000 0.000 0.000
```



No. 3
The following is a GGA-PBE calculation of crystalline LaNpSn2 at its relaxed geometry, from the Alexandria database.

For the energy of formation from the pure elements, the calculation gives -354 meV/atom. For the offset from the most stable computed form, the calculation gives 0 meV per atom.

The structure in extended XYZ format:
```
4
Lattice="3.460 0.000 0.000 0.000 3.460 0.000 0.000 0.000 9.200" Properties=species:S:1:pos:R:3 pbc="T T T"
La 0.000 0.000 0.000
Np 0.000 0.000 4.600
Sn 1.730 1.730 2.389
Sn 1.730 1.730 6.811
```



No. 4
The following is a GGA-PBE calculation of crystalline Pa5Te5C at its relaxed geometry, from the Alexandria database.

The raw formation energy comes out at -0.612 eV per atom.

The structure in extended XYZ format:
```
11
Lattice="6.466 -2.961 0.000 6.466 2.961 0.000 -2.874 0.000 8.020" Properties=species:S:1:pos:R:3 pbc="T T T"
Pa 0.000 0.000 0.000
Pa 4.122 0.000 1.012
Pa 2.593 0.000 5.854
Pa 7.465 0.000 2.166
Pa 5.936 0.000 7.008
Te -0.389 0.000 6.309
Te 1.378 0.000 2.777
Te 5.029 0.000 4.010
Te 8.681 0.000 5.243
Te 10.447 0.000 1.711
C 6.466 0.000 0.000
```



No. 5
The following is a GGA-PBE calculation of crystalline Dy2LuTe at its relaxed geometry, from the Alexandria database.

The raw formation energy comes out at -0.548 eV per atom. For the offset from the most stable computed form, the calculation gives 0 meV per atom.

The structure in extended XYZ format:
```
4
Lattice="3.906 0.000 0.000 0.000 3.906 0.000 0.000 0.000 7.472" Properties=species:S:1:pos:R:3 pbc="T T T"
Dy 0.000 0.000 1.739
Dy 0.000 0.000 5.732
Lu 1.953 1.953 3.736
Te 1.953 1.953 0.000
```



No. 6
The following is a GGA-PBE calculation of crystalline AcSm2Pb at its relaxed geometry, from the Alexandria database.

For the energy of formation from the pure elements, the calculation gives -106 meV/atom. For the offset from the most stable computed form, the calculation gives 164 meV per atom.

The structure in extended XYZ format:
```
4
Lattice="0.000 4.020 4.020 4.020 0.000 4.020 4.020 4.020 0.000" Properties=species:S:1:pos:R:3 pbc="T T T"
Ac 0.000 0.000 0.000
Sm 2.010 2.010 2.010
Sm 6.031 6.031 6.031
Pb 4.020 4.020 4.020
```



No. 7
The following is a GGA-PBE calculation of crystalline ReP2SeS at its relaxed geometry, from the Alexandria database.

The raw formation energy comes out at 0.557 eV per atom. For the offset from the most stable computed form, the calculation gives 0 meV per atom.

The structure in extended XYZ format:
```
5
Lattice="4.753 0.000 0.000 0.000 4.753 0.000 0.000 0.000 4.406" Properties=species:S:1:pos:R:3 pbc="T T T"
Re 0.000 0.000 0.000
P 0.000 2.376 0.000
P 2.376 0.000 0.000
Se 2.376 2.376 2.203
S 0.000 0.000 2.203
```



No. 8
The following is a GGA-PBE calculation of crystalline BePd4Pt at its relaxed geometry, from the Alexandria database.

For the energy of formation from the pure elements, the calculation gives -172 meV/atom.

The structure in extended XYZ format:
```
12
Lattice="3.623 -5.288 0.000 3.623 5.288 0.000 -1.536 0.000 4.538" Properties=species:S:1:pos:R:3 pbc="T T T"
Be 3.239 5.287 1.134
Be 2.470 -5.287 3.403
Pd 1.366 3.498 4.292
Pd 1.082 1.071 2.875
Pd 3.574 3.498 2.515
Pd 1.851 -1.071 0.606
Pd 3.858 1.071 3.931
Pd 2.135 -3.498 2.023
Pd 4.626 -1.071 1.662
Pd 4.343 -3.498 0.246
Pt 3.239 1.164 1.134
Pt 2.470 -1.164 3.403
```



No. 9
The following is a GGA-PBE calculation of crystalline DyCuTe2 at its relaxed geometry, from the Alexandria database.

The raw formation energy comes out at -0.692 eV per atom.

The structure in extended XYZ format:
```
4
Lattice="2.079 1.200 7.008 -2.079 1.200 7.008 0.000 -2.400 7.008" Properties=species:S:1:pos:R:3 pbc="T T T"
Dy 0.000 0.000 0.000
Cu 0.000 0.000 17.603
Te 0.000 0.000 5.075
Te 0.000 0.000 8.997
```



No. 10
The following is a GGA-PBE calculation of crystalline K5Ir4 at its relaxed geometry, from the Alexandria database.

For the energy of formation from the pure elements, the calculation gives 848 meV/atom.

The structure in extended XYZ format:
```
9
Lattice="-5.461 5.461 2.072 5.461 -5.461 2.072 5.461 5.461 -2.072" Properties=species:S:1:pos:R:3 pbc="T T T"
K 0.000 0.000 0.000
K 3.511 3.511 0.000
K 1.950 -1.950 2.072
K -1.950 1.950 2.072
K 1.950 1.950 2.072
Ir 4.210 0.000 0.000
Ir 6.712 0.000 0.000
Ir 0.000 4.210 0.000
Ir 0.000 6.712 0.000
```



No. 11
The following is a GGA-PBE calculation of crystalline Ba2PHSe at its relaxed geometry, from the Alexandria database.

The final energy is -3.5791 eV/atom.

The structure in extended XYZ format:
```
5
Lattice="6.081 0.000 0.000 0.000 6.081 0.000 0.000 0.000 4.973" Properties=species:S:1:pos:R:3 pbc="T T T"
Ba 0.000 3.040 0.000
Ba 3.040 0.000 0.000
P 0.000 0.000 0.000
H 3.040 3.040 2.486
Se 0.000 0.000 2.486
```